18
Lattice="7.310 0.000 0.000 -3.655 6.330 0.000 0.000 0.000 14.992" Properties=species:S:1:pos:R:3 comment="RbAgSnBr6, optimized geometry, DFT PBE" raw_formation_energy_kj_per_mol_fu=-713 sg=P-31c pbc="T T T"
Rb 0.000 0.000 0.000
Rb 0.000 0.000 7.496
Ag 0.000 4.220 3.748
Ag 3.655 2.110 11.244
Sn 0.000 4.220 11.244
Sn 3.655 2.110 3.748
Br -1.221 2.433 9.692
Br -2.159 4.057 12.796
Br 1.221 2.433 12.796
Br -0.938 6.172 9.692
Br 2.717 0.159 2.196
Br 1.496 2.274 5.300
Br 2.159 4.057 9.692
Br 0.938 6.172 12.796
Br 4.593 0.159 5.300
Br 2.434 3.898 2.196
Br 5.814 2.274 2.196
Br 4.876 3.898 5.300